Arrangement i

DFT (GGA-PBE) results for a geometry-optimized TbPmBr2 structure.

a b c (Å): 6.7119 3.8737 10.9788
angles (deg): 90.00 101.67 90.00
Space group Cm (No. 8)
Asymmetric unit:
1 Tb 0.0000 0.0000 0.0000 (multiplicity 2)
2 Pm 0.0780 0.5000 0.7316 (multiplicity 2)
3 Br 0.1841 0.0000 0.5481 (multiplicity 2)
4 Br 0.2263 0.5000 0.1798 (multiplicity 2)

---

Arrangement ii

DFT (GGA-PBE) results for a geometry-optimized TbPmBr2 structure.

a b c (Å): 3.6791 3.6791 30.5571
angles (deg): 90.00 90.00 120.00
Space group R-3m (No. 166, hexagonal axes)
Asymmetric unit:
1 Tb 0.0000 0.0000 0.0000 (multiplicity 3)
2 Pm 0.0000 0.0000 0.5000 (multiplicity 3)
3 Br 0.0000 0.0000 0.4016 (multiplicity 6)

---

Of them, arrangement i has the highest stability.

---

Arrangement i

DFT (GGA-PBE) results for a geometry-optimized Pm2TcBr structure.

a b c (Å): 3.5186 3.5186 8.1328
angles (deg): 90.00 90.00 90.00
Space group P4/mmm (No. 123)
Asymmetric unit:
1 Pm 0.0000 0.0000 0.2078 (multiplicity 2)
2 Tc 0.5000 0.5000 0.0000 (multiplicity 1)
3 Br 0.5000 0.5000 0.5000 (multiplicity 1)

---

Arrangement ii

DFT (GGA-PBE) results for a geometry-optimized Pm2TcBr structure.

a b c (Å): 3.5044 3.5044 29.4563
angles (deg): 90.00 90.00 120.00
Space group R-3m (No. 166, hexagonal axes)
Asymmetric unit:
1 Pm 0.0000 0.0000 0.0852 (multiplicity 6)
2 Tc 0.0000 0.0000 0.0000 (multiplicity 3)
3 Br 0.0000 0.0000 0.5000 (multiplicity 3)

---

Of them, arrangement i has the highest stability.

---

Arrangement i

DFT (GGA-PBE) results for a geometry-optimized Pm2TeBr structure.

a b c (Å): 8.3496 4.8478 7.9527
angles (deg): 90.00 110.34 90.00
Space group Cm (No. 8)
Asymmetric unit:
1 Pm 0.0000 0.0000 0.0000 (multiplicity 2)
2 Pm 0.0385 0.5000 0.6169 (multiplicity 2)
3 Te 0.1392 0.0000 0.4201 (multiplicity 2)
4 Br 0.1775 0.5000 0.0364 (multiplicity 2)

---

Arrangement ii

DFT (GGA-PBE) results for a geometry-optimized Pm2TeBr structure.

a b c (Å): 4.0357 4.0357 25.1320
angles (deg): 90.00 90.00 120.00
Space group R3m (No. 160, hexagonal axes)
Asymmetric unit:
1 Pm 0.0000 0.0000 0.0000 (multiplicity 3)
2 Pm 0.0000 0.0000 0.1701 (multiplicity 3)
3 Te 0.0000 0.0000 0.5846 (multiplicity 3)
4 Br 0.0000 0.0000 0.4188 (multiplicity 3)

---

Arrangement iii

DFT (GGA-PBE) results for a geometry-optimized Pm2TeBr structure.

a b c (Å): 3.7931 3.7931 7.5025
angles (deg): 90.00 90.00 90.00
Space group P4/mmm (No. 123)
Asymmetric unit:
1 Pm 0.0000 0.0000 0.2426 (multiplicity 2)
2 Te 0.5000 0.5000 0.0000 (multiplicity 1)
3 Br 0.5000 0.5000 0.5000 (multiplicity 1)

---

Arrangement iv

DFT (GGA-PBE) results for a geometry-optimized Pm2TeBr structure.

a b c (Å): 7.5539 7.5539 7.5539
angles (deg): 90.00 90.00 90.00
Space group Fm-3m (No. 225)
Asymmetric unit:
1 Pm 0.2500 0.2500 0.2500 (multiplicity 8)
2 Te 0.0000 0.0000 0.0000 (multiplicity 4)
3 Br 0.0000 0.0000 0.5000 (multiplicity 4)

---

Of them, arrangement iv has the highest stability.

---

Arrangement i

DFT (GGA-PBE) results for a geometry-optimized Pm4Te3Br structure.

a b c (Å): 6.0765 12.1416 6.5996
angles (deg): 90.00 90.00 90.00
Space group Pmmn (No. 59, origin choice 2)
Asymmetric unit:
1 Pm 0.2500 0.0008 0.1829 (multiplicity 4)
2 Pm 0.2500 0.2500 0.8089 (multiplicity 2)
3 Pm 0.2500 0.7500 0.8320 (multiplicity 2)
4 Te 0.2500 0.2500 0.2966 (multiplicity 2)
5 Te 0.2500 0.5020 0.6978 (multiplicity 4)
6 Br 0.2500 0.7500 0.2927 (multiplicity 2)

---

Arrangement ii

DFT (GGA-PBE) results for a geometry-optimized Pm4Te3Br structure.

a b c (Å): 4.4776 4.4776 41.9684
angles (deg): 90.00 90.00 120.00
Space group R-3m (No. 166, hexagonal axes)
Asymmetric unit:
1 Pm 0.0000 0.0000 0.1246 (multiplicity 6)
2 Pm 0.0000 0.0000 0.3707 (multiplicity 6)
3 Te 0.0000 0.0000 0.2531 (multiplicity 6)
4 Te 0.0000 0.0000 0.5000 (multiplicity 3)
5 Br 0.0000 0.0000 0.0000 (multiplicity 3)

---

Of them, arrangement i has the highest stability.

---

Arrangement i

DFT (GGA-PBE) results for a geometry-optimized Pm3Te2Br structure.

a b c (Å): 4.2579 4.2579 23.3549
angles (deg): 90.00 90.00 120.00
Space group P6_3/mmc (No. 194)
Asymmetric unit:
1 Pm 0.0000 0.0000 0.0000 (multiplicity 2)
2 Pm 0.3333 0.6667 0.1622 (multiplicity 4)
3 Te 0.3333 0.6667 0.5829 (multiplicity 4)
4 Br 0.0000 0.0000 0.2500 (multiplicity 2)

---

Arrangement ii

DFT (GGA-PBE) results for a geometry-optimized Pm3Te2Br structure.

a b c (Å): 14.0739 9.9329 6.1021
angles (deg): 90.00 90.00 90.00
Space group Cmcm (No. 63)
Asymmetric unit:
1 Pm 0.0000 0.1130 0.2500 (multiplicity 4)
2 Pm 0.1902 0.3507 0.7500 (multiplicity 8)
3 Te 0.1427 0.3478 0.2500 (multiplicity 8)
4 Br 0.0000 0.1879 0.7500 (multiplicity 4)

---

Of them, arrangement i has the highest stability.

---

Arrangement i

DFT (GGA-PBE) results for a geometry-optimized Pm2ThBr structure.

a b c (Å): 3.7353 3.7353 30.7942
angles (deg): 90.00 90.00 120.00
Space group R-3m (No. 166, hexagonal axes)
Asymmetric unit:
1 Pm 0.0000 0.0000 0.2432 (multiplicity 6)
2 Th 0.0000 0.0000 0.0000 (multiplicity 3)
3 Br 0.0000 0.0000 0.5000 (multiplicity 3)

---

Arrangement ii

DFT (GGA-PBE) results for a geometry-optimized Pm2ThBr structure.

a b c (Å): 3.6381 3.6381 9.5627
angles (deg): 90.00 90.00 90.00
Space group P4/mmm (No. 123)
Asymmetric unit:
1 Pm 0.0000 0.0000 0.2452 (multiplicity 2)
2 Th 0.5000 0.5000 0.5000 (multiplicity 1)
3 Br 0.5000 0.5000 0.0000 (multiplicity 1)

---

Of them, arrangement i has the highest stability.